Entry from Alexandria: a relaxed Li2NiIr crystal (GGA-PBE).

```
Li2NiIr
1.0
2.610 0.000 0.000
0.000 4.348 0.000
0.000 0.000 4.438
Li Ni Ir
2 1 1
Direct
0.000 0.000 0.000
0.500 0.500 0.096
0.000 0.500 0.585
0.500 0.000 0.506
```

Properties
Its energy relative to the lowest polymorph listed for this composition is 27 meV per atom. For the magnetization, the calculation gives 0.00 μB/atom. The formation energy comes out at -0.1471 eV per atom. The total energy is -19.06 eV for the cell shown. The value obtained for the mass density is 8.73 g cm⁻³.